Record 1
A plane-wave DFT calculation with meta-GGA SCAN was carried out for LaSb2S2 at its PBEsol-relaxed geometry.

Cell lengths 8.0729, 8.0729, 3.8801 Å; angles 90.00, 90.00, 90.00 degrees
Atoms (fractional coordinates):
La (0.0000, 0.0000, 0.0000)
La (0.5000, 0.5000, 0.0000)
Sb (0.1288, 0.3712, 0.0000)
Sb (0.3712, 0.8712, 0.0000)
Sb (0.6288, 0.1288, 0.0000)
Sb (0.8712, 0.6288, 0.0000)
S (0.2134, 0.7134, 0.5000)
S (0.2866, 0.2134, 0.5000)
S (0.7134, 0.7866, 0.5000)
S (0.7866, 0.2866, 0.5000)

Output
**Raw formation energy**: -11.34 kcal/mol of atoms
**V**: 252.9 Å³/cell

Record 2
A plane-wave DFT calculation with meta-GGA SCAN was carried out for Co2TcMo at its PBEsol-relaxed geometry.

Cell lengths 2.5846, 4.1539, 4.5107 Å; angles 90.00, 90.00, 90.00 degrees
Atoms (fractional coordinates):
Co (0.0000, 0.0000, 0.0000)
Co (0.0000, 0.5000, 0.3261)
Tc (0.5000, 0.0000, 0.4774)
Mo (0.5000, 0.5000, 0.8349)

Output
**V**: 48.4 Å³/cell
**Calculated formation energy**: 102.8 meV/atom
**Distance to the lowest polymorph of the same formula**: 0.0 kJ/mol of formula units

Record 3
A plane-wave DFT calculation with meta-GGA SCAN was carried out for Fe4MoPt at its PBEsol-relaxed geometry.

Cell lengths 4.6517, 4.6517, 4.6517 Å; angles 60.00, 60.00, 60.00 degrees
Atoms (fractional coordinates):
Fe (0.1246, 0.1246, 0.1246)
Fe (0.1246, 0.1246, 0.6262)
Fe (0.1246, 0.6262, 0.1246)
Fe (0.6262, 0.1246, 0.1246)
Mo (0.5000, 0.5000, 0.5000)
Pt (0.7500, 0.7500, 0.7500)

Output
**V**: 71.2 Å³/cell
**Calculated formation energy**: -102.9 meV/atom

Record 4
A plane-wave DFT calculation with meta-GGA SCAN was carried out for BaTe2Se at its PBEsol-relaxed geometry.

Cell lengths 4.5180, 4.5180, 6.1474 Å; angles 90.00, 90.00, 90.00 degrees
Atoms (fractional coordinates):
Ba (0.0000, 0.0000, 0.0000)
Te (0.5000, 0.5000, 0.2569)
Te (0.5000, 0.5000, 0.7431)
Se (0.0000, 0.0000, 0.5000)

Output
**Raw formation energy**: -15.05 kcal/mol of atoms
**V**: 125.5 Å³/cell

Record 5
A plane-wave DFT calculation with meta-GGA SCAN was carried out for In2SiAs at its PBEsol-relaxed geometry.

Cell lengths 3.3211, 3.3211, 7.5499 Å; angles 90.00, 90.00, 90.00 degrees
Atoms (fractional coordinates):
In (0.0000, 0.0000, 0.2451)
In (0.0000, 0.0000, 0.7549)
Si (0.5000, 0.5000, 0.0000)
As (0.5000, 0.5000, 0.5000)

Output
**Raw formation energy**: 10.23 kcal/mol of atoms
**V**: 83.3 Å³/cell
**Distance to the lowest polymorph of the same formula**: 83.0 kJ/mol of formula units

Record 6
A plane-wave DFT calculation with meta-GGA SCAN was carried out for HgPb2 at its PBEsol-relaxed geometry.

Cell lengths 8.0888, 8.0888, 4.4276 Å; angles 90.00, 90.00, 120.00 degrees
Atoms (fractional coordinates):
Hg (0.0000, 0.0000, 0.0000)
Hg (0.3333, 0.6667, 0.5000)
Hg (0.6667, 0.3333, 0.5000)
Pb (0.0000, 0.4016, 0.0000)
Pb (0.0000, 0.7376, 0.5000)
Pb (0.2624, 0.2624, 0.5000)
Pb (0.4016, 0.0000, 0.0000)
Pb (0.5984, 0.5984, 0.0000)
Pb (0.7376, 0.0000, 0.5000)

Output
**V**: 250.9 Å³/cell
**Calculated formation energy**: 47.3 meV/atom
**Distance to the lowest polymorph of the same formula**: 8.0 kJ/mol of formula units

Record 7
A plane-wave DFT calculation with meta-GGA SCAN was carried out for Li2In at its PBEsol-relaxed geometry.

Cell lengths 8.8293, 8.8293, 8.8293 Å; angles 60.00, 60.00, 60.00 degrees
Atoms (fractional coordinates):
Li (0.0000, 0.0000, 0.0000)
Li (0.0000, 0.0000, 0.5000)
Li (0.0000, 0.5000, 0.0000)
Li (0.1729, 0.1729, 0.5771)
Li (0.1729, 0.5771, 0.1729)
Li (0.1729, 0.5771, 0.5771)
Li (0.4229, 0.4229, 0.8271)
Li (0.4229, 0.8271, 0.4229)
Li (0.4229, 0.8271, 0.8271)
Li (0.5000, 0.0000, 0.0000)
Li (0.5771, 0.1729, 0.1729)
Li (0.5771, 0.1729, 0.5771)
Li (0.5771, 0.5771, 0.1729)
Li (0.8271, 0.4229, 0.4229)
Li (0.8271, 0.4229, 0.8271)
Li (0.8271, 0.8271, 0.4229)
In (0.1407, 0.7864, 0.7864)
In (0.2136, 0.2136, 0.2136)
In (0.2136, 0.2136, 0.8593)
In (0.2136, 0.8593, 0.2136)
In (0.7864, 0.1407, 0.7864)
In (0.7864, 0.7864, 0.1407)
In (0.7864, 0.7864, 0.7864)
In (0.8593, 0.2136, 0.2136)

Output
**V**: 486.7 Å³/cell
**Calculated formation energy**: -315.4 meV/atom

Record 8
A plane-wave DFT calculation with meta-GGA SCAN was carried out for ScNiBr2 at its PBEsol-relaxed geometry.

Cell lengths 5.2289, 5.2289, 3.6844 Å; angles 109.89, 109.89, 105.21 degrees
Atoms (fractional coordinates):
Sc (0.0000, 0.0000, 0.0000)
Ni (0.5000, 0.5000, 0.0000)
Br (0.0000, 0.5000, 0.0000)
Br (0.5000, 0.0000, 0.0000)

Output
**Raw formation energy**: -6.45 kcal/mol of atoms
**V**: 80.5 Å³/cell
**Distance to the lowest polymorph of the same formula**: 0.0 kJ/mol of formula units

Please write out number 7 again, unchanged.
A plane-wave DFT calculation with meta-GGA SCAN was carried out for Li2In at its PBEsol-relaxed geometry.

Cell lengths 8.8293, 8.8293, 8.8293 Å; angles 60.00, 60.00, 60.00 degrees
Atoms (fractional coordinates):
Li (0.0000, 0.0000, 0.0000)
Li (0.0000, 0.0000, 0.5000)
Li (0.0000, 0.5000, 0.0000)
Li (0.1729, 0.1729, 0.5771)
Li (0.1729, 0.5771, 0.1729)
Li (0.1729, 0.5771, 0.5771)
Li (0.4229, 0.4229, 0.8271)
Li (0.4229, 0.8271, 0.4229)
Li (0.4229, 0.8271, 0.8271)
Li (0.5000, 0.0000, 0.0000)
Li (0.5771, 0.1729, 0.1729)
Li (0.5771, 0.1729, 0.5771)
Li (0.5771, 0.5771, 0.1729)
Li (0.8271, 0.4229, 0.4229)
Li (0.8271, 0.4229, 0.8271)
Li (0.8271, 0.8271, 0.4229)
In (0.1407, 0.7864, 0.7864)
In (0.2136, 0.2136, 0.2136)
In (0.2136, 0.2136, 0.8593)
In (0.2136, 0.8593, 0.2136)
In (0.7864, 0.1407, 0.7864)
In (0.7864, 0.7864, 0.1407)
In (0.7864, 0.7864, 0.7864)
In (0.8593, 0.2136, 0.2136)

Output
**V**: 486.7 Å³/cell
**Calculated formation energy**: -315.4 meV/atom

Question: The lowest V belongs to which entry?
Answer: Co2TcMo

Question: Which formula does entry 3 have?
Answer: Fe4MoPt